Record 1
# PBE-GGA BeTl2Os, optimized geometry
# * calculated formation energy: 0.587 eV/atom
# * final energy: -4.33 eV/atom
# * M_tot: 0.0 μB/cell
# * space-group type: Amm2, No. 38
data_BeTl2Os
_chemical_formula_sum 'Be1 Tl2 Os1'
_cell_length_a 3.852
_cell_length_b 4.010
_cell_length_c 5.365
_cell_angle_alpha 68.12
_cell_angle_beta 90.00
_cell_angle_gamma 90.00
_space_group_name_H-M_alt 'P 1'
_space_group_IT_number 1
loop_
_space_group_symop_operation_xyz
'x,y,z'
loop_
_atom_site_label
_atom_site_fract_x
_atom_site_fract_y
_atom_site_fract_z
_atom_site_occupancy
Tl1 0.000 0.982 0.911 1
Tl2 0.500 0.275 0.324 1
Be1 0.000 0.678 0.519 1
Os1 0.500 0.564 0.747 1

---

Record 2
# PBE-GGA Th2BeIn, optimized geometry
# * calculated formation energy: 0.637 eV/atom
# * final energy: -4.69 eV/atom
# * M_tot: 0.0 μB/cell
# * space-group type: R-3m, No. 166
data_Th2BeIn
_chemical_formula_sum 'Th2 Be1 In1'
_cell_length_a 3.336
_cell_length_b 3.336
_cell_length_c 11.794
_cell_angle_alpha 81.87
_cell_angle_beta 81.87
_cell_angle_gamma 60.00
_space_group_name_H-M_alt 'P 1'
_space_group_IT_number 1
loop_
_space_group_symop_operation_xyz
'x,y,z'
loop_
_atom_site_label
_atom_site_fract_x
_atom_site_fract_y
_atom_site_fract_z
_atom_site_occupancy
Th1 0.914 0.914 0.257 1
Th2 0.086 0.086 0.743 1
In1 0.500 0.500 0.500 1
Be1 0.000 0.000 0.000 1

---

Record 3
# PBE-GGA NaThIn4, optimized geometry
# * calculated formation energy: -0.071 eV/atom
# * final energy: -3.35 eV/atom
# * M_tot: 0.0 μB/cell
# * space-group type: F-43m, No. 216
data_NaThIn4
_chemical_formula_sum 'Na1 Th1 In4'
_cell_length_a 6.107
_cell_length_b 6.107
_cell_length_c 6.107
_cell_angle_alpha 60.00
_cell_angle_beta 60.00
_cell_angle_gamma 60.00
_space_group_name_H-M_alt 'P 1'
_space_group_IT_number 1
loop_
_space_group_symop_operation_xyz
'x,y,z'
loop_
_atom_site_label
_atom_site_fract_x
_atom_site_fract_y
_atom_site_fract_z
_atom_site_occupancy
In1 0.625 0.625 0.124 1
In2 0.625 0.124 0.625 1
In3 0.124 0.625 0.625 1
In4 0.625 0.625 0.625 1
Na1 0.250 0.250 0.250 1
Th1 0.000 0.000 0.000 1

---

Record 4
# PBE-GGA PmErCdCo, optimized geometry
# * calculated formation energy: -0.218 eV/atom
# * final energy: -4.55 eV/atom
# * M_tot: 0.6 μB/cell
# * space-group type: P4mm, No. 99
data_PmErCdCo
_chemical_formula_sum 'Pm1 Er1 Cd1 Co1'
_cell_length_a 3.448
_cell_length_b 3.448
_cell_length_c 7.751
_cell_angle_alpha 90.00
_cell_angle_beta 90.00
_cell_angle_gamma 90.00
_space_group_name_H-M_alt 'P 1'
_space_group_IT_number 1
loop_
_space_group_symop_operation_xyz
'x,y,z'
loop_
_atom_site_label
_atom_site_fract_x
_atom_site_fract_y
_atom_site_fract_z
_atom_site_occupancy
Pm1 0.500 0.500 0.784 1
Co1 0.000 0.000 0.558 1
Cd1 0.000 0.000 0.084 1
Er1 0.500 0.500 0.359 1

---

Record 5
# PBE-GGA Er4AlCd3, optimized geometry
# * calculated formation energy: -0.336 eV/atom
# * final energy: -3.43 eV/atom
# * M_tot: 0.0 μB/cell
# * space-group type: P4/mmm, No. 123
data_Er4AlCd3
_chemical_formula_sum 'Er4 Al1 Cd3'
_cell_length_a 3.658
_cell_length_b 3.658
_cell_length_c 14.872
_cell_angle_alpha 90.00
_cell_angle_beta 90.00
_cell_angle_gamma 90.00
_space_group_name_H-M_alt 'P 1'
_space_group_IT_number 1
loop_
_space_group_symop_operation_xyz
'x,y,z'
loop_
_atom_site_label
_atom_site_fract_x
_atom_site_fract_y
_atom_site_fract_z
_atom_site_occupancy
Cd1 0.500 0.500 0.500 1
Cd2 0.500 0.500 0.245 1
Cd3 0.500 0.500 0.755 1
Er1 0.000 0.000 0.117 1
Er2 0.000 0.000 0.372 1
Er3 0.000 0.000 0.883 1
Er4 0.000 0.000 0.628 1
Al1 0.500 0.500 0.000 1

---

Record 6
# PBE-GGA Er2HfCo2, optimized geometry
# * calculated formation energy: -0.281 eV/atom
# * final energy: -6.94 eV/atom
# * M_tot: 0.0 μB/cell
# * space-group type: C2/c, No. 15
data_Er2HfCo2
_chemical_formula_sum 'Er4 Hf2 Co4'
_cell_length_a 5.764
_cell_length_b 5.729
_cell_length_c 7.162
_cell_angle_alpha 99.78
_cell_angle_beta 90.00
_cell_angle_gamma 120.20
_space_group_name_H-M_alt 'P 1'
_space_group_IT_number 1
loop_
_space_group_symop_operation_xyz
'x,y,z'
loop_
_atom_site_label
_atom_site_fract_x
_atom_site_fract_y
_atom_site_fract_z
_atom_site_occupancy
Co1 0.303 0.297 0.501 1
Co2 0.995 0.297 0.001 1
Co3 0.005 0.703 0.999 1
Co4 0.697 0.703 0.499 1
Hf1 0.094 0.000 0.750 1
Hf2 0.906 0.000 0.250 1
Er1 0.768 0.300 0.648 1
Er2 0.232 0.700 0.352 1
Er3 0.468 0.700 0.852 1
Er4 0.532 0.300 0.148 1

---

Record 7
# PBE-GGA Ti3SnS, optimized geometry
# * formation energy without anion corrections: -571.1 meV per atom
# * final energy: -6.93 eV/atom
# * M_tot: 1.4 μB/cell
# * space-group type: Cmmm, No. 65
data_Ti3SnS
_chemical_formula_sum 'Ti6 Sn2 S2'
_cell_length_a 4.441
_cell_length_b 6.002
_cell_length_c 7.527
_cell_angle_alpha 113.50
_cell_angle_beta 90.00
_cell_angle_gamma 90.00
_space_group_name_H-M_alt 'P 1'
_space_group_IT_number 1
loop_
_space_group_symop_operation_xyz
'x,y,z'
loop_
_atom_site_label
_atom_site_fract_x
_atom_site_fract_y
_atom_site_fract_z
_atom_site_occupancy
Ti1 0.500 0.000 0.500 1
Ti2 0.500 0.282 0.000 1
Ti3 0.500 0.718 0.000 1
Ti4 0.000 0.832 0.663 1
Ti5 0.000 0.168 0.337 1
Ti6 0.500 0.500 0.500 1
Sn1 0.000 0.624 0.247 1
Sn2 0.000 0.376 0.753 1
S1 0.500 0.884 0.768 1
S2 0.500 0.116 0.232 1

---

Record 8
# PBE-GGA Ac3PrIr3, optimized geometry
# * calculated formation energy: -0.451 eV/atom
# * final energy: -6.69 eV/atom
# * M_tot: 0.0 μB/cell
# * space-group type: R3m, No. 160
data_Ac3PrIr3
_chemical_formula_sum 'Ac3 Pr1 Ir3'
_cell_length_a 6.335
_cell_length_b 6.335
_cell_length_c 6.335
_cell_angle_alpha 109.33
_cell_angle_beta 109.33
_cell_angle_gamma 109.33
_space_group_name_H-M_alt 'P 1'
_space_group_IT_number 1
loop_
_space_group_symop_operation_xyz
'x,y,z'
loop_
_atom_site_label
_atom_site_fract_x
_atom_site_fract_y
_atom_site_fract_z
_atom_site_occupancy
Pr1 0.981 0.981 0.981 1
Ac1 0.543 0.543 0.103 1
Ac2 0.103 0.543 0.543 1
Ac3 0.543 0.103 0.543 1
Ir1 0.039 0.039 0.551 1
Ir2 0.551 0.039 0.039 1
Ir3 0.039 0.551 0.039 1

---

Record 9
# PBE-GGA BCl, optimized geometry
# * formation energy without anion corrections: -129.5 meV per atom
# * final energy: -4.39 eV/atom
# * M_tot: 0.0 μB/cell
# * space-group type: I4/m, No. 87
data_BCl
_chemical_formula_sum 'B8 Cl8'
_cell_length_a 12.124
_cell_length_b 12.124
_cell_length_c 3.015
_cell_angle_alpha 90.00
_cell_angle_beta 90.00
_cell_angle_gamma 90.00
_space_group_name_H-M_alt 'P 1'
_space_group_IT_number 1
loop_
_space_group_symop_operation_xyz
'x,y,z'
loop_
_atom_site_label
_atom_site_fract_x
_atom_site_fract_y
_atom_site_fract_z
_atom_site_occupancy
Cl1 0.576 0.209 0.000 1
Cl2 0.291 0.076 0.500 1
Cl3 0.709 0.924 0.500 1
Cl4 0.424 0.791 0.000 1
Cl5 0.209 0.424 0.000 1
Cl6 0.791 0.576 0.000 1
Cl7 0.076 0.709 0.500 1
Cl8 0.924 0.291 0.500 1
B1 0.242 0.285 0.000 1
B2 0.758 0.715 0.000 1
B3 0.715 0.242 0.000 1
B4 0.258 0.215 0.500 1
B5 0.785 0.258 0.500 1
B6 0.215 0.742 0.500 1
B7 0.742 0.785 0.500 1
B8 0.285 0.758 0.000 1

---

Record 10
# PBE-GGA BaIn2Bi2Pb, optimized geometry
# * calculated formation energy: -0.263 eV/atom
# * final energy: -3.41 eV/atom
# * M_tot: 0.0 μB/cell
# * space-group type: Pmc2_1, No. 26
data_BaIn2Bi2Pb
_chemical_formula_sum 'Ba2 In4 Bi4 Pb2'
_cell_length_a 4.773
_cell_length_b 9.157
_cell_length_c 9.637
_cell_angle_alpha 90.00
_cell_angle_beta 90.00
_cell_angle_gamma 90.00
_space_group_name_H-M_alt 'P 1'
_space_group_IT_number 1
loop_
_space_group_symop_operation_xyz
'x,y,z'
loop_
_atom_site_label
_atom_site_fract_x
_atom_site_fract_y
_atom_site_fract_z
_atom_site_occupancy
In1 0.500 0.482 0.946 1
In2 0.500 0.982 0.054 1
In3 0.000 0.905 0.765 1
In4 0.000 0.405 0.235 1
Ba1 0.000 0.501 0.651 1
Ba2 0.000 0.001 0.349 1
Pb1 0.500 0.142 0.729 1
Pb2 0.500 0.642 0.271 1
Bi1 0.500 0.302 0.427 1
Bi2 0.500 0.802 0.573 1
Bi3 0.000 0.215 0.978 1
Bi4 0.000 0.715 0.022 1

---

Record 11
# PBE-GGA AsP2Ir, optimized geometry
# * calculated formation energy: 0.052 eV/atom
# * final energy: -6.03 eV/atom
# * M_tot: 0.0 μB/cell
# * space-group type: I4/mmm, No. 139
data_AsP2Ir
_chemical_formula_sum 'As1 P2 Ir1'
_cell_length_a 4.336
_cell_length_b 4.336
_cell_length_c 4.335
_cell_angle_alpha 70.08
_cell_angle_beta 70.08
_cell_angle_gamma 108.57
_space_group_name_H-M_alt 'P 1'
_space_group_IT_number 1
loop_
_space_group_symop_operation_xyz
'x,y,z'
loop_
_atom_site_label
_atom_site_fract_x
_atom_site_fract_y
_atom_site_fract_z
_atom_site_occupancy
P1 0.000 0.000 0.000 1
P2 0.500 0.500 0.000 1
As1 0.500 0.000 0.500 1
Ir1 0.000 0.500 0.500 1

---

Record 12
# PBE-GGA Tb3PrH, optimized geometry
# * final energy: -4.58 eV/atom
# * M_tot: 0.0 μB/cell
# * space-group type: Pm-3m, No. 221
data_Tb3PrH
_chemical_formula_sum 'Tb3 Pr1 H1'
_cell_length_a 5.055
_cell_length_b 5.055
_cell_length_c 5.055
_cell_angle_alpha 90.00
_cell_angle_beta 90.00
_cell_angle_gamma 90.00
_space_group_name_H-M_alt 'P 1'
_space_group_IT_number 1
loop_
_space_group_symop_operation_xyz
'x,y,z'
loop_
_atom_site_label
_atom_site_fract_x
_atom_site_fract_y
_atom_site_fract_z
_atom_site_occupancy
Tb1 0.500 0.000 0.000 1
Tb2 0.000 0.500 0.000 1
Tb3 0.000 0.000 0.500 1
H1 0.000 0.000 0.000 1
Pr1 0.500 0.500 0.500 1